1.
Crystalline CaLa2NiMo at its relaxed geometry, computed with PBE.

The structure in POSCAR format:
```
CaLa2NiMo
1.0
-3.265 -4.523 0.519
3.250 -2.031 2.741
-2.407 2.257 4.528
Ni Mo Ca La
1 1 1 2
direct
0.000 0.500 0.000
0.000 0.000 0.000
0.500 0.500 0.500
0.000 0.000 0.500
0.500 0.000 0.000
```

Output
- Calculated formation energy: 431 meV/atom
- Crystal system: tetragonal
- D(E_F): 4.32 states/eV/cell

2.
Crystalline CaLaSiMo2 at its relaxed geometry, computed with PBE.

The structure in POSCAR format:
```
CaLaSiMo2
1.0
4.890 0.000 0.000
0.000 5.522 0.000
0.000 0.000 4.890
Mo Si Ca La
2 1 1 1
direct
0.000 0.000 0.500
0.500 0.000 0.000
0.000 0.500 0.000
0.500 0.500 0.500
0.000 0.000 0.000
```

Output
- Crystal system: tetragonal
- D(E_F): 7.10 states/eV/cell
- ΔE_f (raw): 1600 meV per atom

3.
Crystalline CaLaMoW2 at its relaxed geometry, computed with PBE.

The structure in POSCAR format:
```
CaLaMoW2
1.0
-3.405 2.984 -2.059
0.330 -2.518 -4.194
-3.610 -3.051 1.548
Mo Ca W La
1 1 2 1
direct
0.000 0.500 0.000
0.500 0.500 0.500
0.000 0.000 0.500
0.500 0.000 0.000
0.000 0.000 0.000
```

Output
- Calculated formation energy: 2238 meV/atom
- Crystal system: tetragonal
- D(E_F): 8.31 states/eV/cell

4.
Crystalline Ca2La2N at its relaxed geometry, computed with PBE.

The structure in POSCAR format:
```
Ca2La2N
1.0
-4.281 3.703 -3.964
-2.947 -5.827 -2.261
-4.680 0.298 5.332
Ca N La
4 2 4
direct
0.172 0.672 0.500
0.672 0.828 0.500
0.828 0.328 0.500
0.328 0.172 0.500
0.000 0.000 0.000
0.500 0.500 0.000
0.307 0.807 0.000
0.807 0.693 0.000
0.693 0.193 0.000
0.193 0.307 0.000
```

Output
- Crystal system: tetragonal
- D(E_F): 4.67 states/eV/cell
- ΔE_f (raw): -118 meV per atom
- Distance to the lowest polymorph of the same formula: 0 meV per atom

5.
Crystalline CaLaN3 at its relaxed geometry, computed with PBE.

The structure in POSCAR format:
```
CaLaN3
1.0
4.325 0.000 0.000
0.000 4.325 0.000
0.000 0.000 4.325
Ca N La
1 3 1
direct
0.500 0.500 0.500
0.000 0.500 0.000
0.000 0.000 0.500
0.500 0.000 0.000
0.000 0.000 0.000
```

Output
- Crystal system: cubic
- D(E_F): 3.97 states/eV/cell
- ΔE_f (raw): 471 meV per atom

6.
Crystalline CaLa5N6 at its relaxed geometry, computed with PBE.

The structure in POSCAR format:
```
CaLa5N6
1.0
-0.899 -0.134 -6.362
3.183 -4.782 2.882
-5.987 -1.330 1.975
Ca N La
1 6 5
direct
0.000 0.000 0.000
0.428 0.085 0.255
0.915 0.572 0.745
0.259 0.259 0.747
0.741 0.741 0.253
0.085 0.428 0.255
0.572 0.915 0.745
0.835 0.165 0.500
0.667 0.333 0.000
0.500 0.500 0.500
0.333 0.667 0.000
0.165 0.835 0.500
```

Output
- Crystal system: monoclinic
- D(E_F): 14.12 states/eV/cell
- ΔE_f (raw): -1182 meV per atom

7.
Crystalline Ca5LaN4 at its relaxed geometry, computed with PBE.

The structure in POSCAR format:
```
Ca5LaN4
1.0
-3.485 0.013 -1.088
1.195 -6.182 -3.901
0.089 -5.612 5.776
Ca La N
5 1 4
direct
0.830 0.872 0.661
0.846 0.294 0.691
0.154 0.706 0.309
0.500 0.500 0.000
0.170 0.128 0.339
0.500 0.000 0.000
0.330 0.096 0.660
0.998 0.746 0.995
0.670 0.904 0.340
0.002 0.254 0.005
```

Output
- Crystal system: monoclinic
- D(E_F): 2.79 states/eV/cell
- ΔE_f (raw): -830 meV per atom

8.
Crystalline CaLa2N2 at its relaxed geometry, computed with PBE.

The structure in POSCAR format:
```
CaLa2N2
1.0
-1.033 2.979 1.885
-5.085 -0.659 -1.747
1.948 -4.354 4.371
Ca La N
1 2 2
direct
0.000 0.000 0.000
0.316 0.316 0.632
0.684 0.684 0.368
0.676 0.176 0.351
0.324 0.824 0.649
```

Output
- Crystal system: orthorhombic
- D(E_F): 2.78 states/eV/cell
- ΔE_f (raw): -971 meV per atom

9.
Crystalline CaLaN3 at its relaxed geometry, computed with PBE.

The structure in POSCAR format:
```
CaLaN3
1.0
-0.058 -4.048 -1.276
4.233 -0.147 0.273
-0.305 -1.269 4.039
Ca N La
1 3 1
direct
0.000 0.000 0.000
0.000 0.500 0.000
0.000 0.000 0.500
0.500 0.000 0.000
0.500 0.500 0.500
```

Output
- Crystal system: cubic
- D(E_F): 4.24 states/eV/cell
- ΔE_f (raw): 571 meV per atom

10.
Crystalline Ca2La2N at its relaxed geometry, computed with PBE.

The structure in POSCAR format:
```
Ca2La2N
1.0
3.803 0.000 0.000
0.000 3.803 0.000
1.902 1.902 9.709
Ca N La
2 1 2
direct
0.750 0.250 0.500
0.250 0.750 0.500
0.000 0.000 0.000
0.425 0.425 0.151
0.575 0.575 0.849
```

Output
- Crystal system: tetragonal
- D(E_F): 4.73 states/eV/cell
- ΔE_f (raw): 654 meV per atom
- Distance to the lowest polymorph of the same formula: 772 meV per atom

11.
Crystalline CaLa5N4 at its relaxed geometry, computed with PBE.

The structure in POSCAR format:
```
CaLa5N4
1.0
3.298 0.000 1.053
0.528 8.757 4.036
-1.170 2.088 9.355
Ca La N
1 5 4
direct
0.250 0.000 0.000
0.620 0.327 0.932
0.880 0.068 0.673
0.750 0.500 0.500
0.620 0.932 0.327
0.880 0.673 0.068
0.250 0.285 0.715
0.111 0.139 0.139
0.389 0.861 0.861
0.250 0.715 0.285
```

Output
- Crystal system: orthorhombic
- D(E_F): 7.35 states/eV/cell
- ΔE_f (raw): -655 meV per atom

12.
Crystalline CaLa4N4 at its relaxed geometry, computed with PBE.

The structure in POSCAR format:
```
CaLa4N4
1.0
-2.364 -4.543 -1.494
3.518 -5.305 1.038
-3.553 -2.796 4.600
Ca La N
1 4 4
direct
0.000 0.000 0.000
0.614 0.570 0.202
0.386 0.430 0.798
0.184 0.202 0.430
0.816 0.798 0.570
0.904 0.396 0.796
0.096 0.604 0.204
0.300 0.796 0.604
0.700 0.204 0.396
```

Output
- Crystal system: tetragonal
- D(E_F): 2.30 states/eV/cell
- ΔE_f (raw): -1152 meV per atom